[1]
# Zr3Al3RhAu2 PBE optimized geometry
# Crystal system: hexagonal
# E_form in eV/atom: -0.743
# Magnetic moment in Bohr magnetons per cell: 0.000
# Volume in Å³/cell: 165.5
data_Zr3Al3RhAu2
_symmetry_space_group_name_H-M 'P -6 2 m'
_symmetry_Int_Tables_number 189
_symmetry_space_group_name_Hall 'P -6 -2'
_cell_length_a 6.8105
_cell_length_b 6.8105
_cell_length_c 4.1195
_cell_angle_alpha 90.00
_cell_angle_beta 90.00
_cell_angle_gamma 120.00
loop_
_atom_site_label
_atom_site_fract_x
_atom_site_fract_y
_atom_site_fract_z
Zr1 0.0000 0.5929 0.0000
Al1 0.0000 0.2405 0.5000
Rh1 0.0000 0.0000 0.0000
Au1 0.3333 0.6667 0.5000

[2]
# K2ZnReSb PBE optimized geometry
# Crystal system: tetragonal
# DFT total energy in eV/atom: -2.90
# Magnetic moment in Bohr magnetons per cell: 2.733
# Volume in Å³/cell: 168.9
data_K2ZnReSb
_symmetry_space_group_name_H-M 'P 4/m m m'
_symmetry_Int_Tables_number 123
_symmetry_space_group_name_Hall '-P 4 2'
_cell_length_a 5.842
_cell_length_b 5.842
_cell_length_c 4.949
_cell_angle_alpha 90.00
_cell_angle_beta 90.00
_cell_angle_gamma 90.00
loop_
_atom_site_label
_atom_site_fract_x
_atom_site_fract_y
_atom_site_fract_z
K1 0.000 0.500 0.000
Zn1 0.000 0.000 0.000
Re1 0.000 0.000 0.500
Sb1 0.500 0.500 0.500

[3]
# EuYZnNi PBE optimized geometry
# Crystal system: cubic
# E_form in eV/atom: -0.202
# Magnetic moment in Bohr magnetons per cell: 27.846
# Volume in Å³/cell: 356.0
data_EuYZnNi
_symmetry_space_group_name_H-M 'F -4 3 m'
_symmetry_Int_Tables_number 216
_symmetry_space_group_name_Hall 'F -4 2 3'
_cell_length_a 7.087
_cell_length_b 7.087
_cell_length_c 7.087
_cell_angle_alpha 90.00
_cell_angle_beta 90.00
_cell_angle_gamma 90.00
loop_
_atom_site_label
_atom_site_fract_x
_atom_site_fract_y
_atom_site_fract_z
Eu1 0.000 0.000 0.000
Y1 0.000 0.000 0.500
Zn1 0.250 0.250 0.750
Ni1 0.250 0.250 0.250

[4]
# RbLaZn3 PBE optimized geometry
# Crystal system: cubic
# E_form in eV/atom: 0.453
# Magnetic moment in Bohr magnetons per cell: 0.000
# Volume in Å³/cell: 209.4
data_RbLaZn3
_symmetry_space_group_name_H-M 'P m -3 m'
_symmetry_Int_Tables_number 221
_symmetry_space_group_name_Hall '-P 4 2 3'
_cell_length_a 5.938
_cell_length_b 5.938
_cell_length_c 5.938
_cell_angle_alpha 90.00
_cell_angle_beta 90.00
_cell_angle_gamma 90.00
loop_
_atom_site_label
_atom_site_fract_x
_atom_site_fract_y
_atom_site_fract_z
Rb1 0.000 0.000 0.000
La1 0.500 0.500 0.500
Zn1 0.000 0.500 0.500

[5]
# TlSb2Mo PBE optimized geometry
# Crystal system: orthorhombic
# DFT total energy in eV/atom: -4.64
# Magnetic moment in Bohr magnetons per cell: 1.697
# Volume in Å³/cell: 93.8
data_TlSb2Mo
_symmetry_space_group_name_H-M 'P m m m'
_symmetry_Int_Tables_number 47
_symmetry_space_group_name_Hall '-P 2 2'
_cell_length_a 3.716
_cell_length_b 5.021
_cell_length_c 5.028
_cell_angle_alpha 90.00
_cell_angle_beta 90.00
_cell_angle_gamma 90.00
loop_
_atom_site_label
_atom_site_fract_x
_atom_site_fract_y
_atom_site_fract_z
Tl1 0.000 0.000 0.000
Sb1 0.000 0.500 0.500
Sb2 0.500 0.000 0.500
Mo1 0.500 0.500 0.000

[6]
# KCd2Au PBE optimized geometry
# Crystal system: monoclinic
# E_form in eV/atom: -0.208
# Magnetic moment in Bohr magnetons per cell: 0.000
# Volume in Å³/cell: 251.7
data_KCd2Au
_symmetry_space_group_name_H-M 'C 1 m 1'
_symmetry_Int_Tables_number 8
_symmetry_space_group_name_Hall 'C -2y'
_cell_length_a 8.453
_cell_length_b 4.875
_cell_length_c 6.739
_cell_angle_alpha 90.00
_cell_angle_beta 115.02
_cell_angle_gamma 90.00
loop_
_atom_site_label
_atom_site_fract_x
_atom_site_fract_y
_atom_site_fract_z
K1 0.000 0.000 0.000
Cd1 0.193 0.000 0.580
Cd2 0.469 0.000 0.409
Au1 0.314 0.500 0.442

[7]
# TbFe2H7 PBE optimized geometry
# Crystal system: orthorhombic
# DFT total energy in eV/atom: -4.66
# Magnetic moment in Bohr magnetons per cell: 3.150
# Volume in Å³/cell: 142.7
data_TbFe2H7
_symmetry_space_group_name_H-M 'C m m m'
_symmetry_Int_Tables_number 65
_symmetry_space_group_name_Hall '-C 2 2'
_cell_length_a 5.077
_cell_length_b 8.116
_cell_length_c 3.464
_cell_angle_alpha 90.00
_cell_angle_beta 90.00
_cell_angle_gamma 90.00
loop_
_atom_site_label
_atom_site_fract_x
_atom_site_fract_y
_atom_site_fract_z
Tb1 0.000 0.000 0.000
Fe1 0.000 0.302 0.500
H1 0.000 0.302 0.000
H2 0.000 0.500 0.500
H3 0.190 0.139 0.500

[8]
# Rb4Pa3TiSe8 PBE optimized geometry
# Crystal system: trigonal
# DFT total energy in eV/atom: -5.52
# Magnetic moment in Bohr magnetons per cell: 20.900
# Volume in Å³/cell: 1446.3
data_Rb4Pa3TiSe8
_symmetry_space_group_name_H-M 'R -3 m'
_symmetry_Int_Tables_number 166
_symmetry_space_group_name_Hall '-R 3 2"'
_cell_length_a 8.2642
_cell_length_b 8.2642
_cell_length_c 24.4522
_cell_angle_alpha 90.00
_cell_angle_beta 90.00
_cell_angle_gamma 120.00
loop_
_atom_site_label
_atom_site_fract_x
_atom_site_fract_y
_atom_site_fract_z
Rb1 0.0000 0.0000 0.0000
Rb2 0.0000 0.5000 0.0000
Pa1 0.0000 0.5000 0.5000
Ti1 0.0000 0.0000 0.5000
Se1 0.0000 0.0000 0.2352
Se2 0.0132 0.5066 0.2317

[9]
# In2OsW PBE optimized geometry
# Crystal system: monoclinic
# E_form in eV/atom: 0.547
# Magnetic moment in Bohr magnetons per cell: 0.000
# Volume in Å³/cell: 146.9
data_In2OsW
_symmetry_space_group_name_H-M 'C 1 m 1'
_symmetry_Int_Tables_number 8
_symmetry_space_group_name_Hall 'C -2y'
_cell_length_a 10.307
_cell_length_b 3.026
_cell_length_c 4.915
_cell_angle_alpha 90.00
_cell_angle_beta 106.61
_cell_angle_gamma 90.00
loop_
_atom_site_label
_atom_site_fract_x
_atom_site_fract_y
_atom_site_fract_z
In1 0.000 0.000 0.000
In2 0.216 0.000 0.674
Os1 0.255 0.500 0.200
W1 0.459 0.000 0.472

[10]
# Pm14TmIn PBE optimized geometry
# Crystal system: orthorhombic
# E_form in eV/atom: -0.040
# Magnetic moment in Bohr magnetons per cell: 0.000
# Volume in Å³/cell: 1059.9
data_Pm14TmIn
_symmetry_space_group_name_H-M 'A m m 2'
_symmetry_Int_Tables_number 38
_symmetry_space_group_name_Hall 'A 2 -2'
_cell_length_a 10.243
_cell_length_b 10.171
_cell_length_c 10.173
_cell_angle_alpha 90.00
_cell_angle_beta 90.00
_cell_angle_gamma 90.00
loop_
_atom_site_label
_atom_site_fract_x
_atom_site_fract_y
_atom_site_fract_z
Pm1 0.000 0.000 0.000
Pm2 0.000 0.000 0.500
Pm3 0.000 0.250 0.250
Pm4 0.255 0.000 0.249
Pm5 0.255 0.000 0.751
Pm6 0.255 0.249 0.000
Pm7 0.500 0.250 0.250
Tm1 0.500 0.000 0.500
In1 0.500 0.000 0.000

[11]
# MgCo2WBr PBE optimized geometry
# Crystal system: tetragonal
# DFT total energy in eV/atom: -4.79
# Magnetic moment in Bohr magnetons per cell: 1.139
# Volume in Å³/cell: 112.3
data_MgCo2WBr
_symmetry_space_group_name_H-M 'P 4/m m m'
_symmetry_Int_Tables_number 123
_symmetry_space_group_name_Hall '-P 4 2'
_cell_length_a 4.416
_cell_length_b 4.416
_cell_length_c 5.760
_cell_angle_alpha 90.00
_cell_angle_beta 90.00
_cell_angle_gamma 90.00
loop_
_atom_site_label
_atom_site_fract_x
_atom_site_fract_y
_atom_site_fract_z
Mg1 0.000 0.000 0.000
Co1 0.000 0.500 0.500
W1 0.000 0.000 0.500
Br1 0.500 0.500 0.000

[12]
# InCoSiTc2 PBE optimized geometry
# Crystal system: tetragonal
# DFT total energy in eV/atom: -4.55
# Magnetic moment in Bohr magnetons per cell: 0.257
# Volume in Å³/cell: 110.3
data_InCoSiTc2
_symmetry_space_group_name_H-M 'P 4/m m m'
_symmetry_Int_Tables_number 123
_symmetry_space_group_name_Hall '-P 4 2'
_cell_length_a 4.871
_cell_length_b 4.871
_cell_length_c 4.648
_cell_angle_alpha 90.00
_cell_angle_beta 90.00
_cell_angle_gamma 90.00
loop_
_atom_site_label
_atom_site_fract_x
_atom_site_fract_y
_atom_site_fract_z
In1 0.000 0.000 0.000
Co1 0.500 0.500 0.500
Si1 0.000 0.000 0.500
Tc1 0.000 0.500 0.000